1.
Here is an optimized crystal structure of ZnReSe2Br from Alexandria via LeMat-Bulk. Energies are from PBE.

Properties
- energy above the lowest structure with this stoichiometry (kJ/mol of atoms) = 0.00
- formation energy (no corrections) (eV/atom) = 0.407
- total moment (μB/f.u.) = 0.000
- density (g/cm³) = 6.46

abc: 4.8177 4.8177 5.4189
angles: 90.00 90.00 90.00
Last column: nearest neighbours and their distance in Å.
Element x y z (fractional)
Zn 0.0000 0.0000 0.0000  4 Br 3.41, 8 Se 3.63
Re 0.5000 0.5000 0.5000  4 Se 2.41
Se 0.0000 0.5000 0.5000  2 Re 2.41
Se 0.5000 0.0000 0.5000  2 Re 2.41
Br 0.5000 0.5000 0.0000  2 Re 2.71

2.
Here is an optimized crystal structure of AgSbC3 from Alexandria via LeMat-Bulk. Energies are from PBE.

Properties
- energy above the lowest structure with this stoichiometry (kJ/mol of atoms) = 15.46
- formation energy (no corrections) (eV/atom) = 3.064
- total moment (μB/f.u.) = 0.958
- density (g/cm³) = 5.91

abc: 4.2100 4.2100 4.2100
angles: 90.00 90.00 90.00
Last column: nearest neighbours and their distance in Å.
Element x y z (fractional)
Ag 0.0000 0.0000 0.0000  6 C 2.11
Sb 0.5000 0.5000 0.5000  12 C 2.98
C 0.0000 0.0000 0.5000  2 Ag 2.11
C 0.0000 0.5000 0.0000  2 Ag 2.11
C 0.5000 0.0000 0.0000  2 Ag 2.11